1.
DFT (PBE-GGA) results for crystalline Y3TcRh at its relaxed geometry.

Cell lengths 5.2470, 5.2470, 5.2470 Å; angles 90.00, 90.00, 90.00 degrees
Closest atoms and distances in Å follow each position.
Positions (direct):
Y 0.0000 0.0000 0.5000  2 Rh 2.62
Y 0.5000 0.0000 0.0000  2 Rh 2.62
Y 0.0000 0.5000 0.0000  2 Rh 2.62
Rh 0.0000 0.0000 0.0000  6 Y 2.62
Tc 0.5000 0.5000 0.5000  12 Y 3.71

Its density of states at the Fermi level is 5.77 states/eV per cell. The calculation puts the energy of formation at 1.7 eV per formula unit. The calculation puts the total energy at -0.2600 Ha/atom. The value obtained for the density is 5.4 g/cm³. The offset from the most stable computed form is 0 meV/atom.

=====

2.
DFT (PBE-GGA) results for crystalline Dy2PaTe at its relaxed geometry.

Cell lengths 3.5658, 3.5658, 11.1130 Å; angles 80.77, 80.77, 60.00 degrees
Closest atoms and distances in Å follow each position.
Positions (direct):
Te 0.5000 0.5000 0.5000  6 Dy 3.03
Pa 0.0000 0.0000 0.0000  2 Dy 3.24, 6 Pa 3.57
Dy 0.0988 0.0988 0.7037  3 Te 3.03, 1 Pa 3.24
Dy 0.9012 0.9012 0.2963  3 Te 3.03, 1 Pa 3.24

Its density of states at the Fermi level is 6.59 states/eV per cell. For the uncorrected formation energy, the calculation gives 51 meV/atom. The calculation puts the total energy at -0.1988 Ha/atom. The value obtained for the density is 9.4 g/cm³.

=====

3.
DFT (PBE-GGA) results for crystalline ZnAgPt2 at its relaxed geometry.

Cell lengths 4.8682, 4.8682, 4.8350 Å; angles 78.86, 78.86, 34.18 degrees
Closest atoms and distances in Å follow each position.
Positions (direct):
Pt 0.0048 0.0048 0.9968  4 Zn 2.77-2.85, 3 Ag 2.78-2.85, 5 Pt 2.79-2.86
Pt 0.7546 0.7546 0.7430  3 Zn 2.69-2.88, 4 Ag 2.79-2.83, 5 Pt 2.79-2.86
Ag 0.2474 0.2474 0.2500  7 Pt 2.78-2.85, 3 Zn 2.83, 2 Ag 2.86
Zn 0.4932 0.4932 0.5103  7 Pt 2.69-2.88, 3 Ag 2.83, 2 Zn 2.86

Its density of states at the Fermi level is 1.85 states/eV per cell. The calculation puts the energy of formation at -0.8 eV per formula unit. The calculation puts the total energy at -0.1562 Ha/atom. The value obtained for the density is 14.8 g/cm³.

=====

4.
DFT (PBE-GGA) results for crystalline Tb19Pm4Ho6 at its relaxed geometry.

Cell lengths 10.8152, 10.8153, 10.8151 Å; angles 109.47, 109.47, 109.47 degrees
Closest atoms and distances in Å follow each position.
Positions (direct):
Tb 0.0000 0.2613 0.2613  5 Tb 3.26-3.56, 2 Pm 3.34, 2 Ho 3.37
Tb 0.3398 0.0142 0.7973  1 Ho 3.19, 2 Pm 3.34-3.42, 2 Tb 3.39-3.56
Tb 0.3256 0.7831 0.9857  1 Ho 3.19, 2 Pm 3.34-3.42, 2 Tb 3.39-3.56
Tb 0.0000 0.0000 0.0000  6 Tb 3.26
Tb 0.4575 0.6744 0.6602  1 Ho 3.19, 2 Pm 3.34-3.42, 2 Tb 3.39-3.56
Tb 0.2169 0.5425 0.2027  1 Ho 3.19, 2 Pm 3.34-3.42, 2 Tb 3.39-3.56
Tb 0.9858 0.3256 0.7831  1 Ho 3.19, 2 Pm 3.34-3.42, 2 Tb 3.39-3.56
Tb 0.2027 0.2169 0.5425  1 Ho 3.19, 2 Pm 3.34-3.42, 2 Tb 3.39-3.56
Tb 0.6602 0.4575 0.6744  1 Ho 3.19, 2 Pm 3.34-3.42, 2 Tb 3.39-3.56
Tb 0.7387 0.0000 0.7387  5 Tb 3.26-3.56, 2 Pm 3.34, 2 Ho 3.37
Tb 0.0000 0.7387 0.7387  5 Tb 3.26-3.56, 2 Pm 3.34, 2 Ho 3.37
Tb 0.2613 0.0000 0.2613  5 Tb 3.26-3.56, 2 Pm 3.34, 2 Ho 3.37
Tb 0.5425 0.2027 0.2169  1 Ho 3.19, 2 Pm 3.34-3.42, 2 Tb 3.39-3.56
Tb 0.2613 0.2613 0.0000  5 Tb 3.26-3.56, 2 Pm 3.34, 2 Ho 3.37
Tb 0.7831 0.9858 0.3256  1 Ho 3.19, 2 Pm 3.34-3.42, 2 Tb 3.39-3.56
Tb 0.7973 0.3398 0.0142  1 Ho 3.19, 2 Pm 3.34-3.42, 2 Tb 3.39-3.56
Tb 0.6744 0.6602 0.4575  1 Ho 3.19, 2 Pm 3.34-3.42, 2 Tb 3.39-3.56
Tb 0.7387 0.7387 0.0000  5 Tb 3.26-3.56, 2 Pm 3.34, 2 Ho 3.37
Tb 0.0142 0.7973 0.3398  1 Ho 3.19, 2 Pm 3.34-3.42, 2 Tb 3.39-3.56
Pm 0.6397 0.0000 0.0000  9 Tb 3.34-3.42
Pm 0.0000 0.0000 0.6397  9 Tb 3.34-3.42
Pm 0.3603 0.3603 0.3603  9 Tb 3.34-3.42
Pm 0.0000 0.6397 0.0000  9 Tb 3.34-3.42
Ho 0.5000 0.1252 0.6252  1 Ho 3.13, 4 Tb 3.19-3.37
Ho 0.5000 0.8748 0.3748  1 Ho 3.13, 4 Tb 3.19-3.37
Ho 0.6252 0.5000 0.1252  1 Ho 3.13, 4 Tb 3.19-3.37
Ho 0.3748 0.5000 0.8748  1 Ho 3.13, 4 Tb 3.19-3.37
Ho 0.1252 0.6252 0.5000  1 Ho 3.13, 4 Tb 3.19-3.37
Ho 0.8748 0.3748 0.5000  1 Ho 3.13, 4 Tb 3.19-3.37

Its density of states at the Fermi level is 42.73 states/eV per cell. The calculation puts the energy of formation at 11.2 eV per formula unit. The calculation puts the total energy at -0.1561 Ha/atom. The value obtained for the density is 7.8 g/cm³.

=====

5.
DFT (PBE-GGA) results for crystalline Ba2Al4In3Sn at its relaxed geometry.

Cell lengths 4.8624, 4.8624, 11.5496 Å; angles 90.00, 90.00, 90.00 degrees
Closest atoms and distances in Å follow each position.
Positions (direct):
Al 0.0000 0.5000 0.3679  3 In 2.76-2.87, 2 Sn 2.87
Al 0.0000 0.0000 0.0000  4 In 2.85
Al 0.5000 0.5000 0.0000  4 In 2.85
Al 0.5000 0.0000 0.6321  3 In 2.76-2.87, 2 Sn 2.87
In 0.0000 0.5000 0.1291  5 Al 2.76-2.85
In 0.0000 0.0000 0.5000  4 Al 2.87
In 0.5000 0.0000 0.8709  5 Al 2.76-2.85
Sn 0.5000 0.5000 0.5000  4 Al 2.87
Ba 0.0000 0.5000 0.7536  6 In 3.70-3.81, 8 Al 3.71-3.74, 2 Sn 3.81
Ba 0.5000 0.0000 0.2464  6 In 3.70-3.81, 8 Al 3.71-3.74, 2 Sn 3.81

Its density of states at the Fermi level is 2.57 states/eV per cell. The calculation puts the energy of formation at -2.7 eV per formula unit. The calculation puts the total energy at -0.1239 Ha/atom. The value obtained for the density is 5.1 g/cm³.

=====

6.
DFT (PBE-GGA) results for crystalline La12Ga3N4 at its relaxed geometry.

Cell lengths 8.7902, 8.7902, 8.7902 Å; angles 109.47, 109.47, 109.47 degrees
Closest atoms and distances in Å follow each position.
Positions (direct):
N 0.5000 0.5000 0.5000  6 La 2.54
N 0.0000 0.0000 0.5000  6 La 2.54
N 0.5000 0.0000 0.0000  6 La 2.54
N 0.0000 0.5000 0.0000  6 La 2.54
Ga 0.0000 0.5000 0.5000  12 La 3.52-3.61
Ga 0.5000 0.5000 0.0000  12 La 3.52-3.61
Ga 0.5000 0.0000 0.5000  12 La 3.52-3.61
La 0.9969 0.2535 0.7433  2 N 2.54
La 0.7433 0.4898 0.7465  2 N 2.54
La 0.0031 0.7465 0.2567  2 N 2.54
La 0.2535 0.7433 0.9969  2 N 2.54
La 0.5102 0.2535 0.2567  2 N 2.54
La 0.2567 0.5102 0.2535  2 N 2.54
La 0.2535 0.2567 0.5102  2 N 2.54
La 0.4898 0.7465 0.7433  2 N 2.54
La 0.2567 0.0031 0.7465  2 N 2.54
La 0.7433 0.9969 0.2535  2 N 2.54
La 0.7465 0.7433 0.4898  2 N 2.54
La 0.7465 0.2567 0.0031  2 N 2.54

Its density of states at the Fermi level is 10.09 states/eV per cell. For the uncorrected formation energy, the calculation gives -740 meV/atom. The calculation puts the total energy at -0.2235 Ha/atom. The value obtained for the density is 6.1 g/cm³.

=====

7.
DFT (PBE-GGA) results for crystalline LiPu2P3Rh12 at its relaxed geometry.

Cell lengths 6.6980, 6.6980, 6.6980 Å; angles 79.38, 79.38, 79.38 degrees
Closest atoms and distances in Å follow each position.
Positions (direct):
Rh 0.3511 0.3511 0.9117  2 P 2.39
Rh 0.6489 0.6489 0.0883  2 P 2.39
Rh 0.1776 0.6514 0.1776  1 P 2.30, 1 Pu 2.47
Rh 0.0883 0.6489 0.6489  2 P 2.39
Rh 0.6514 0.1776 0.1776  1 P 2.30, 1 Pu 2.47
Rh 0.6489 0.0883 0.6489  2 P 2.39
Rh 0.1776 0.1776 0.6514  1 P 2.30, 1 Pu 2.47
Rh 0.9117 0.3511 0.3511  2 P 2.39
Rh 0.3486 0.8224 0.8224  1 P 2.30, 1 Pu 2.47
Rh 0.8224 0.8224 0.3486  1 P 2.30, 1 Pu 2.47
Rh 0.8224 0.3486 0.8224  1 P 2.30, 1 Pu 2.47
Rh 0.3511 0.9117 0.3511  2 P 2.39
Li 0.0000 0.0000 0.0000  6 Rh 2.60
P 0.5000 0.0000 0.0000  6 Rh 2.30-2.39
P 0.0000 0.0000 0.5000  6 Rh 2.30-2.39
P 0.0000 0.5000 0.0000  6 Rh 2.30-2.39
Pu 0.6069 0.6069 0.6069  3 Rh 2.47
Pu 0.3931 0.3931 0.3931  3 Rh 2.47

Its density of states at the Fermi level is 27.79 states/eV per cell. The calculation puts the energy of formation at -5.4 eV per formula unit. The calculation puts the total energy at -0.2866 Ha/atom. The value obtained for the density is 10.6 g/cm³.

=====

8.
DFT (PBE-GGA) results for crystalline LiAcHoEr at its relaxed geometry.

Cell lengths 5.6713, 5.6713, 5.6713 Å; angles 60.00, 60.00, 60.00 degrees
Closest atoms and distances in Å follow each position.
Positions (direct):
Li 0.0000 0.0000 0.0000  4 Ac 3.47, 4 Ho 3.47
Ho 0.7500 0.7500 0.7500  4 Li 3.47, 4 Er 3.47
Ac 0.2500 0.2500 0.2500  4 Er 3.47, 4 Li 3.47
Er 0.5000 0.5000 0.5000  4 Ac 3.47, 4 Ho 3.47

Its density of states at the Fermi level is 4.13 states/eV per cell. The calculation puts the energy of formation at 0.7 eV per formula unit. The calculation puts the total energy at -0.1328 Ha/atom. The value obtained for the density is 7.3 g/cm³.